Compound: TcTeIrI2
Source: Alexandria
Functional: PBE
Structure: relaxed

- size of the total moment (μB per cell) = 4.85
- formation energy without anion corrections (meV/atom) = 1140
- symmetry = No. 123
- offset from the most stable computed form (eV/atom) = 0.0298
- V (Å³/f.u.) = 154.4

```
data_TcTeIrI2
_cell_length_a 5.428
_cell_length_b 5.428
_cell_length_c 5.242
_cell_angle_alpha 90.00
_cell_angle_beta 90.00
_cell_angle_gamma 90.00
_space_group_name_H-M_alt 'P 1'
_space_group_IT_number 1
loop_
_space_group_symop_operation_xyz
'x,y,z'
loop_
_atom_site_label
_atom_site_fract_x
_atom_site_fract_y
_atom_site_fract_z
Tc1 0.000 0.000 0.000
Te1 0.500 0.500 0.000
Ir1 0.500 0.500 0.500
I1 0.000 0.500 0.500
I2 0.500 0.000 0.500
```

Compound: TcTeIrI2
Source: Alexandria
Functional: PBE
Structure: relaxed

- size of the total moment (μB per cell) = 0.00
- formation energy without anion corrections (meV/atom) = 1110
- symmetry = No. 123
- offset from the most stable computed form (eV/atom) = 0.0000
- V (Å³/f.u.) = 136.8

```
data_TcTeIrI2
_cell_length_a 5.314
_cell_length_b 5.314
_cell_length_c 4.844
_cell_angle_alpha 90.00
_cell_angle_beta 90.00
_cell_angle_gamma 90.00
_space_group_name_H-M_alt 'P 1'
_space_group_IT_number 1
loop_
_space_group_symop_operation_xyz
'x,y,z'
loop_
_atom_site_label
_atom_site_fract_x
_atom_site_fract_y
_atom_site_fract_z
Tc1 0.000 0.000 0.000
Te1 0.500 0.500 0.500
Ir1 0.000 0.000 0.500
I1 0.000 0.500 0.000
I2 0.500 0.000 0.000
```

Compound: TeIr2I
Source: Alexandria
Functional: PBE
Structure: relaxed

- size of the total moment (μB per cell) = 0.00
- formation energy without anion corrections (meV/atom) = 619
- symmetry = No. 122
- offset from the most stable computed form (eV/atom) = 0.0000
- V (Å³/f.u.) = 105.7

```
data_TeIr2I
_cell_length_a 7.128
_cell_length_b 7.128
_cell_length_c 7.128
_cell_angle_alpha 129.31
_cell_angle_beta 129.31
_cell_angle_gamma 74.51
_space_group_name_H-M_alt 'P 1'
_space_group_IT_number 1
loop_
_space_group_symop_operation_xyz
'x,y,z'
loop_
_atom_site_label
_atom_site_fract_x
_atom_site_fract_y
_atom_site_fract_z
Te1 0.000 0.000 0.000
Te2 0.750 0.250 0.500
Ir1 0.118 0.625 0.993
Ir2 0.375 0.368 0.493
Ir3 0.632 0.125 0.007
Ir4 0.875 0.882 0.507
I1 0.250 0.750 0.500
I2 0.500 0.500 0.000
```

Compound: TeIr2I
Source: Alexandria
Functional: PBE
Structure: relaxed

- size of the total moment (μB per cell) = 0.00
- formation energy without anion corrections (meV/atom) = 907
- symmetry = No. 225
- offset from the most stable computed form (eV/atom) = 0.2882
- V (Å³/f.u.) = 77.9

```
data_TeIr2I
_cell_length_a 4.794
_cell_length_b 4.794
_cell_length_c 4.794
_cell_angle_alpha 60.00
_cell_angle_beta 60.00
_cell_angle_gamma 60.00
_space_group_name_H-M_alt 'P 1'
_space_group_IT_number 1
loop_
_space_group_symop_operation_xyz
'x,y,z'
loop_
_atom_site_label
_atom_site_fract_x
_atom_site_fract_y
_atom_site_fract_z
Te1 0.000 0.000 0.000
Ir1 0.250 0.250 0.250
Ir2 0.750 0.750 0.750
I1 0.500 0.500 0.500
```

Compound: Te8IrI5
Source: Alexandria
Functional: PBE
Structure: relaxed

- size of the total moment (μB per cell) = 0.00
- formation energy without anion corrections (meV/atom) = -153
- symmetry = No. 2
- V (Å³/f.u.) = 562.3

```
data_Te8IrI5
_cell_length_a 10.021
_cell_length_b 10.625
_cell_length_c 11.642
_cell_angle_alpha 101.07
_cell_angle_beta 111.27
_cell_angle_gamma 92.60
_space_group_name_H-M_alt 'P 1'
_space_group_IT_number 1
loop_
_space_group_symop_operation_xyz
'x,y,z'
loop_
_atom_site_label
_atom_site_fract_x
_atom_site_fract_y
_atom_site_fract_z
Te1 0.051 0.356 0.270
Te2 0.067 0.442 0.879
Te3 0.075 0.808 0.979
Te4 0.207 0.231 0.000
Te5 0.290 0.797 0.322
Te6 0.301 0.436 0.221
Te7 0.398 0.516 0.822
Te8 0.439 0.674 0.066
Te9 0.561 0.326 0.934
Te10 0.602 0.484 0.178
Te11 0.699 0.564 0.779
Te12 0.710 0.203 0.678
Te13 0.793 0.769 0.000
Te14 0.925 0.192 0.021
Te15 0.933 0.558 0.121
Te16 0.949 0.644 0.730
Ir1 0.189 0.623 0.100
Ir2 0.811 0.377 0.900
I1 0.023 0.925 0.292
I2 0.206 0.618 0.481
I3 0.298 0.850 0.856
I4 0.406 0.007 0.246
I5 0.408 0.285 0.586
I6 0.592 0.715 0.414
I7 0.594 0.993 0.754
I8 0.702 0.150 0.144
I9 0.794 0.382 0.519
I10 0.977 0.075 0.708
```

Compound: TeIr2I2
Source: Alexandria
Functional: PBE
Structure: relaxed

- size of the total moment (μB per cell) = 0.00
- formation energy without anion corrections (meV/atom) = 979
- symmetry = No. 139
- offset from the most stable computed form (eV/atom) = 0.1219
- V (Å³/f.u.) = 119.5

```
data_TeIr2I2
_cell_length_a 6.370
_cell_length_b 6.370
_cell_length_c 6.370
_cell_angle_alpha 136.82
_cell_angle_beta 136.82
_cell_angle_gamma 62.72
_space_group_name_H-M_alt 'P 1'
_space_group_IT_number 1
loop_
_space_group_symop_operation_xyz
'x,y,z'
loop_
_atom_site_label
_atom_site_fract_x
_atom_site_fract_y
_atom_site_fract_z
Te1 0.000 0.000 0.000
Ir1 0.384 0.384 0.000
Ir2 0.616 0.616 0.000
I1 0.250 0.750 0.500
I2 0.750 0.250 0.500
```

Number 1: E_tot -19.77 eV per cell. Number 2: E_tot -19.92 eV per cell. Number 3: E_tot -39.88 eV per cell. Number 4: E_tot -18.79 eV per cell. Number 5: E_tot -87.79 eV per cell. Number 6: E_tot -19.07 eV per cell.